No. 1
The following is a DFT calculation (meta-GGA SCAN) of SrSc2S at its PBEsol-relaxed geometry.

Geometry as POSCAR:
```
SrSc2S
1.0
-1.935 2.287 2.007
-1.687 -1.182 2.959
6.376 2.310 6.754
Sc Sr S
2 1 1
Direct
0.882 0.882 0.353
0.118 0.118 0.647
0.000 0.000 0.000
0.500 0.500 0.500
```

Uncorrected formation energy = -3.12 eV/f.u.


No. 2
The following is a DFT calculation (meta-GGA SCAN) of SrZrSc2S at its PBEsol-relaxed geometry.

Geometry as POSCAR:
```
SrZrSc2S
1.0
4.992 0.000 0.000
0.000 5.263 0.000
0.000 0.000 5.263
Sc Sr S Zr
2 1 1 1
Direct
0.000 0.000 0.500
0.000 0.500 0.000
0.500 0.500 0.500
0.500 0.000 0.000
0.000 0.000 0.000
```

Uncorrected formation energy = 0.97 eV/f.u.


No. 3
The following is a DFT calculation (meta-GGA SCAN) of ScTaS2 at its PBEsol-relaxed geometry.

Geometry as POSCAR:
```
ScTaS2
1.0
-2.016 4.628 -1.710
-3.574 -0.097 3.952
6.618 0.704 2.408
Sc S Ta
2 4 2
Direct
0.750 0.250 0.500
0.500 0.500 0.000
0.353 0.875 0.250
0.897 0.375 0.250
0.125 0.103 0.750
0.625 0.647 0.750
0.250 0.750 0.500
0.000 0.000 0.000
```

Uncorrected formation energy = -3.42 eV/f.u.